CeMgZn4 | PBE | relaxed

Cell: 4.405 4.405 6.921 Å, 90.00 90.00 120.00°
Fractional coordinates of all 6 atoms:
Ce  0.000  0.000  0.000
Mg  0.000  0.000  0.500
Zn  0.333  0.667  0.276
Zn  0.333  0.667  0.724
Zn  0.667  0.333  0.276
Zn  0.667  0.333  0.724

* calculated volume: 116.29 Å³ per cell
* space group: P6/mmm

---

CeMg14Zn | PBE | relaxed

Cell: 6.464 6.464 10.304 Å, 90.00 90.00 120.00°
Fractional coordinates of all 16 atoms:
Ce  0.000  0.000  0.000
Mg  0.016  0.508  0.000
Mg  0.164  0.329  0.259
Mg  0.164  0.329  0.741
Mg  0.164  0.836  0.259
Mg  0.164  0.836  0.741
Mg  0.492  0.508  0.000
Mg  0.492  0.984  0.000
Mg  0.503  0.006  0.500
Mg  0.503  0.497  0.500
Mg  0.667  0.333  0.235
Mg  0.667  0.333  0.765
Mg  0.671  0.836  0.259
Mg  0.671  0.836  0.741
Mg  0.994  0.497  0.500
Zn  0.000  0.000  0.500

* calculated volume: 372.89 Å³ per cell
* distance to the lowest polymorph of the same formula: 0.24 eV per formula unit
* space group: P-6m2

---

CeMg5Zn2 | PBE | relaxed

Cell: 4.077 8.358 10.561 Å, 90.00 90.00 90.00°
Fractional coordinates of all 16 atoms:
Ce  0.000  0.000  0.000
Ce  0.500  0.500  0.500
Mg  0.000  0.191  0.349
Mg  0.000  0.191  0.651
Mg  0.000  0.500  0.000
Mg  0.000  0.809  0.349
Mg  0.000  0.809  0.651
Mg  0.500  0.000  0.500
Mg  0.500  0.309  0.151
Mg  0.500  0.309  0.849
Mg  0.500  0.691  0.151
Mg  0.500  0.691  0.849
Zn  0.000  0.500  0.270
Zn  0.000  0.500  0.730
Zn  0.500  0.000  0.230
Zn  0.500  0.000  0.770

* calculated volume: 359.89 Å³ per cell
* space group: Immm

---

Ce2MgZn9 | PBE | relaxed

Cell: 9.372 9.372 9.372 Å, 33.24 33.24 33.24°
Fractional coordinates of all 12 atoms:
Ce  0.148  0.148  0.148
Ce  0.852  0.852  0.852
Mg  0.000  0.000  0.000
Zn  0.078  0.582  0.582
Zn  0.335  0.335  0.335
Zn  0.418  0.418  0.922
Zn  0.418  0.922  0.418
Zn  0.500  0.500  0.500
Zn  0.582  0.078  0.582
Zn  0.582  0.582  0.078
Zn  0.665  0.665  0.665
Zn  0.922  0.418  0.418

* calculated volume: 220.19 Å³ per cell
* space group: R-3m

---

CeMg14Zr | PBE | relaxed

Cell: 6.544 6.544 10.228 Å, 90.00 90.00 120.00°
Fractional coordinates of all 16 atoms:
Ce  0.000  0.000  0.000
Mg  0.000  0.500  0.500
Mg  0.013  0.507  0.000
Mg  0.167  0.334  0.258
Mg  0.167  0.334  0.742
Mg  0.167  0.833  0.258
Mg  0.167  0.833  0.742
Mg  0.493  0.507  0.000
Mg  0.493  0.987  0.000
Mg  0.500  0.000  0.500
Mg  0.500  0.500  0.500
Mg  0.666  0.833  0.258
Mg  0.666  0.833  0.742
Mg  0.667  0.333  0.243
Mg  0.667  0.333  0.757
Zr  0.000  0.000  0.500

* calculated volume: 379.26 Å³ per cell
* distance to the lowest polymorph of the same formula: 0.34 eV per formula unit
* space group: P-6m2

---

CeMg2Zr | PBE | relaxed

Cell: 3.133 3.133 9.755 Å, 90.00 90.00 90.00°
Fractional coordinates of all 4 atoms:
Ce  0.000  0.000  0.000
Mg  0.500  0.500  0.268
Mg  0.500  0.500  0.732
Zr  0.000  0.000  0.500

* calculated volume: 95.73 Å³ per cell
* distance to the lowest polymorph of the same formula: 0.02 eV per formula unit
* space group: P4/mmm

---

CeMg6Zr | PBE | relaxed

Cell: 5.024 6.500 11.641 Å, 90.00 90.00 90.00°
Fractional coordinates of all 16 atoms:
Ce  0.000  0.000  0.000
Ce  0.000  0.500  0.500
Mg  0.000  0.000  0.475
Mg  0.000  0.243  0.234
Mg  0.000  0.257  0.734
Mg  0.000  0.500  0.975
Mg  0.000  0.743  0.734
Mg  0.000  0.757  0.234
Mg  0.500  0.000  0.631
Mg  0.500  0.246  0.378
Mg  0.500  0.254  0.878
Mg  0.500  0.500  0.131
Mg  0.500  0.746  0.878
Mg  0.500  0.754  0.378
Zr  0.500  0.000  0.117
Zr  0.500  0.500  0.617

* calculated volume: 380.15 Å³ per cell
* distance to the lowest polymorph of the same formula: 0.00 eV per formula unit
* space group: Amm2

---

CeMg2Zr | PBE | relaxed

Cell: 3.088 3.088 34.452 Å, 90.00 90.00 120.00°
Fractional coordinates of all 12 atoms:
Ce  0.000  0.000  0.000
Ce  0.333  0.667  0.667
Ce  0.667  0.333  0.333
Mg  0.000  0.000  0.246
Mg  0.000  0.000  0.754
Mg  0.333  0.667  0.420
Mg  0.333  0.667  0.913
Mg  0.667  0.333  0.087
Mg  0.667  0.333  0.580
Zr  0.000  0.000  0.500
Zr  0.333  0.667  0.167
Zr  0.667  0.333  0.833

* calculated volume: 284.50 Å³ per cell
* distance to the lowest polymorph of the same formula: 0.00 eV per formula unit
* space group: R-3m

---

CeMg2Zr | PBE | relaxed

Cell: 7.317 7.317 7.317 Å, 90.00 90.00 90.00°
Fractional coordinates of all 16 atoms:
Ce  0.000  0.000  0.000
Ce  0.000  0.500  0.500
Ce  0.500  0.000  0.500
Ce  0.500  0.500  0.000
Mg  0.250  0.250  0.250
Mg  0.250  0.250  0.750
Mg  0.250  0.750  0.250
Mg  0.250  0.750  0.750
Mg  0.750  0.250  0.250
Mg  0.750  0.250  0.750
Mg  0.750  0.750  0.250
Mg  0.750  0.750  0.750
Zr  0.000  0.000  0.500
Zr  0.000  0.500  0.000
Zr  0.500  0.000  0.000
Zr  0.500  0.500  0.500

* calculated volume: 391.76 Å³ per cell
* distance to the lowest polymorph of the same formula: 0.31 eV per formula unit
* space group: Fm-3m

---

CeMg6Zr | PBE | relaxed

Cell: 5.202 6.095 12.048 Å, 90.00 90.00 90.00°
Fractional coordinates of all 16 atoms:
Ce  0.000  0.000  0.000
Ce  0.000  0.500  0.500
Mg  0.000  0.248  0.747
Mg  0.000  0.252  0.247
Mg  0.000  0.748  0.247
Mg  0.000  0.752  0.747
Mg  0.500  0.000  0.161
Mg  0.500  0.000  0.641
Mg  0.500  0.246  0.398
Mg  0.500  0.254  0.898
Mg  0.500  0.500  0.141
Mg  0.500  0.500  0.661
Mg  0.500  0.746  0.898
Mg  0.500  0.754  0.398
Zr  0.000  0.000  0.490
Zr  0.000  0.500  0.990

* calculated volume: 382.00 Å³ per cell
* distance to the lowest polymorph of the same formula: 0.12 eV per formula unit
* space group: Amm2

---

CeMg14Zr | PBE | relaxed

Cell: 10.492 6.557 6.557 Å, 56.39 90.00 90.00°
Fractional coordinates of all 16 atoms:
Ce  0.000  0.000  0.000
Mg  0.000  0.498  0.998
Mg  0.000  0.998  0.498
Mg  0.243  0.652  0.652
Mg  0.254  0.156  0.652
Mg  0.254  0.652  0.156
Mg  0.259  0.158  0.158
Mg  0.500  0.496  0.496
Mg  0.500  0.496  0.992
Mg  0.500  0.992  0.496
Mg  0.500  0.994  0.994
Mg  0.741  0.158  0.158
Mg  0.746  0.156  0.652
Mg  0.746  0.652  0.156
Mg  0.757  0.652  0.652
Zr  0.000  0.490  0.490

* calculated volume: 375.65 Å³ per cell
* distance to the lowest polymorph of the same formula: 0.00 eV per formula unit
* space group: Amm2

---

CeMg2Zr | PBE | relaxed

Cell: 5.319 5.319 3.480 Å, 90.00 90.00 90.00°
Fractional coordinates of all 4 atoms:
Ce  0.000  0.000  0.000
Mg  0.000  0.500  0.500
Mg  0.500  0.000  0.500
Zr  0.500  0.500  0.000

* calculated volume: 98.47 Å³ per cell
* distance to the lowest polymorph of the same formula: 0.45 eV per formula unit
* space group: P4/mmm

---

no.,energy of formation from the pure elements (meV per atom)
1,-235
2,37
3,-92
4,-126
5,66
6,53
7,85
8,48
9,125
10,100
11,45
12,159